## CeY6Er8 (GGA-PBE)

Data for a geometry-optimized CeY6Er8 structure.

abc: 8.9840 8.9840 20.4643
angles: 90.00 90.00 120.00
Space group R-3 (No. 148, hexagonal axes)
Unique sites:
Ce 0.0000 0.0000 0.0000 (multiplicity 3)
Y 0.0625 0.8145 0.7082 (multiplicity 18)
Er 0.0000 0.0000 0.4234 (multiplicity 6)
Er 0.0815 0.5244 0.8068 (multiplicity 18)

Output
DOS(E_F) in states/eV per cell: 78.663
ΔE_f in kcal/mol of atoms: 2.94